(1)
{
  "formula": "LiY3Se2Cl6",
  "functional": "PBE-GGA",
  "state": "optimized geometry",
  "lattice": [[6.736, -4.005, 0.000], [6.736, 4.005, 0.000], [-0.166, 0.000, 6.156]],
  "species": ["Li", "Y", "Y", "Y", "Se", "Se", "Cl", "Cl", "Cl", "Cl", "Cl", "Cl"],
  "frac_coords": [[0.000, 0.000, 0.000], [0.000, 0.500, 0.000], [0.500, 0.000, 0.000], [0.500, 0.500, 0.500], [0.326, 0.326, 0.737], [0.674, 0.674, 0.263], [0.160, 0.160, 0.214], [0.172, 0.670, 0.247], [0.330, 0.828, 0.753], [0.670, 0.172, 0.247], [0.828, 0.330, 0.753], [0.840, 0.840, 0.786]],
  "total_energy_ev_per_fu": -63.7,
  "dos_at_fermi_per_ev_cell": 0.0,
  "e_form_raw_ev_per_atom": -2.02
}

(2)
{
  "formula": "LiSiCl2",
  "functional": "PBE-GGA",
  "state": "optimized geometry",
  "lattice": [[3.645, -3.645, 0.000], [3.645, 3.645, 0.000], [-0.043, 0.000, 3.395]],
  "species": ["Li", "Si", "Cl", "Cl"],
  "frac_coords": [[0.000, 0.000, 0.000], [0.500, 0.500, 0.000], [0.000, 0.500, 0.000], [0.500, 0.000, 0.000]],
  "total_energy_ev_per_fu": -13.5,
  "dos_at_fermi_per_ev_cell": 0.5,
  "e_form_raw_ev_per_atom": -0.62
}

(3)
{
  "formula": "LiSiCl2",
  "functional": "PBE-GGA",
  "state": "optimized geometry",
  "lattice": [[5.595, -1.670, 0.000], [5.595, 1.670, 0.000], [-0.615, 0.000, 5.855]],
  "species": ["Li", "Si", "Cl", "Cl"],
  "frac_coords": [[0.000, 0.000, 0.000], [0.369, 0.369, 0.653], [0.571, 0.571, 0.771], [0.886, 0.886, 0.298]],
  "total_energy_ev_per_fu": -13.4,
  "dos_at_fermi_per_ev_cell": 1.5,
  "e_form_raw_ev_per_atom": -0.59
}

(4)
{
  "formula": "LiSiCl2",
  "functional": "PBE-GGA",
  "state": "optimized geometry",
  "lattice": [[0.000, 3.383, 3.383], [3.383, 0.000, 3.383], [3.383, 3.383, 0.000]],
  "species": ["Li", "Si", "Cl", "Cl"],
  "frac_coords": [[0.000, 0.000, 0.000], [0.500, 0.500, 0.500], [0.250, 0.250, 0.250], [0.750, 0.750, 0.750]],
  "total_energy_ev_per_fu": -12.4,
  "dos_at_fermi_per_ev_cell": 1.7,
  "e_form_raw_ev_per_atom": -0.33
}

(5)
{
  "formula": "LiSiCl2",
  "functional": "PBE-GGA",
  "state": "optimized geometry",
  "lattice": [[3.296, 0.000, 0.000], [0.000, 3.296, 0.000], [0.000, 0.000, 7.627]],
  "species": ["Li", "Si", "Cl", "Cl"],
  "frac_coords": [[0.000, 0.000, 0.000], [0.500, 0.500, 0.450], [0.000, 0.000, 0.695], [0.500, 0.500, 0.108]],
  "total_energy_ev_per_fu": -13.4,
  "dos_at_fermi_per_ev_cell": 1.7,
  "e_form_raw_ev_per_atom": -0.59
}

(6)
{
  "formula": "LiSiCl2",
  "functional": "PBE-GGA",
  "state": "optimized geometry",
  "lattice": [[-1.812, 3.677, 3.951], [1.812, -3.677, 3.951], [1.812, 3.677, -3.951]],
  "species": ["Li", "Si", "Cl", "Cl"],
  "frac_coords": [[0.000, 0.000, 0.000], [0.500, 0.000, 0.500], [0.234, 0.500, 0.734], [0.766, 0.500, 0.266]],
  "total_energy_ev_per_fu": -13.2,
  "dos_at_fermi_per_ev_cell": 0.1,
  "e_form_raw_ev_per_atom": -0.53
}

(7)
{
  "formula": "LiSiCl2",
  "functional": "PBE-GGA",
  "state": "optimized geometry",
  "lattice": [[3.349, 0.000, 0.000], [0.000, 4.941, 0.000], [0.000, 0.000, 5.102]],
  "species": ["Li", "Si", "Cl", "Cl"],
  "frac_coords": [[0.000, 0.000, 0.000], [0.500, 0.500, 0.491], [0.000, 0.000, 0.493], [0.500, 0.500, 0.035]],
  "total_energy_ev_per_fu": -13.2,
  "dos_at_fermi_per_ev_cell": 1.1,
  "e_form_raw_ev_per_atom": -0.53
}

(8)
{
  "formula": "LiSiCl2",
  "functional": "PBE-GGA",
  "state": "optimized geometry",
  "lattice": [[1.696, 0.979, 7.533], [-1.696, 0.979, 7.533], [0.000, -1.958, 7.533]],
  "species": ["Li", "Si", "Cl", "Cl"],
  "frac_coords": [[0.000, 0.000, 0.000], [0.500, 0.500, 0.500], [0.266, 0.266, 0.266], [0.734, 0.734, 0.734]],
  "total_energy_ev_per_fu": -13.5,
  "dos_at_fermi_per_ev_cell": 2.1,
  "e_form_raw_ev_per_atom": -0.62
}

(9)
{
  "formula": "LiSiCl2",
  "functional": "PBE-GGA",
  "state": "optimized geometry",
  "lattice": [[1.712, 0.988, 7.791], [-1.712, 0.988, 7.791], [0.000, -1.976, 7.791]],
  "species": ["Li", "Si", "Cl", "Cl"],
  "frac_coords": [[0.000, 0.000, 0.000], [0.500, 0.500, 0.500], [0.396, 0.396, 0.396], [0.604, 0.604, 0.604]],
  "total_energy_ev_per_fu": -14.1,
  "dos_at_fermi_per_ev_cell": 0.6,
  "e_form_raw_ev_per_atom": -0.78
}

(10)
{
  "formula": "LiSiCl2",
  "functional": "PBE-GGA",
  "state": "optimized geometry",
  "lattice": [[1.739, 1.004, 8.680], [-1.739, 1.004, 8.680], [0.000, -2.008, 8.680]],
  "species": ["Li", "Si", "Cl", "Cl"],
  "frac_coords": [[0.000, 0.000, 0.000], [0.500, 0.500, 0.500], [0.083, 0.083, 0.083], [0.917, 0.917, 0.917]],
  "total_energy_ev_per_fu": -12.5,
  "dos_at_fermi_per_ev_cell": 1.1,
  "e_form_raw_ev_per_atom": -0.36
}

(11)
{
  "formula": "LiSiCl2",
  "functional": "PBE-GGA",
  "state": "optimized geometry",
  "lattice": [[0.000, 3.463, 3.463], [3.463, 0.000, 3.463], [3.463, 3.463, 0.000]],
  "species": ["Li", "Si", "Cl", "Cl"],
  "frac_coords": [[0.000, 0.000, 0.000], [0.750, 0.750, 0.750], [0.250, 0.250, 0.250], [0.500, 0.500, 0.500]],
  "total_energy_ev_per_fu": -10.7,
  "dos_at_fermi_per_ev_cell": 2.6,
  "e_form_raw_ev_per_atom": 0.08
}

(12)
{
  "formula": "LiSiCl2",
  "functional": "PBE-GGA",
  "state": "optimized geometry",
  "lattice": [[1.905, -2.810, 0.000], [1.905, 2.810, 0.000], [0.000, 0.000, 8.041]],
  "species": ["Li", "Si", "Cl", "Cl"],
  "frac_coords": [[0.000, 0.000, 0.000], [0.500, 0.500, 0.473], [0.000, 0.000, 0.714], [0.500, 0.500, 0.148]],
  "total_energy_ev_per_fu": -13.5,
  "dos_at_fermi_per_ev_cell": 1.3,
  "e_form_raw_ev_per_atom": -0.62
}

(13)
{
  "formula": "LiSiCl2",
  "functional": "PBE-GGA",
  "state": "optimized geometry",
  "lattice": [[-3.426, 3.426, 3.783], [3.426, -3.426, 3.783], [3.426, 3.426, -3.783]],
  "species": ["Li", "Li", "Si", "Si", "Cl", "Cl", "Cl", "Cl"],
  "frac_coords": [[0.000, 0.000, 0.000], [0.750, 0.250, 0.500], [0.250, 0.750, 0.500], [0.500, 0.500, 0.000], [0.090, 0.625, 0.965], [0.375, 0.340, 0.465], [0.660, 0.125, 0.035], [0.875, 0.910, 0.535]],
  "total_energy_ev_per_fu": -13.1,
  "dos_at_fermi_per_ev_cell": 0.5,
  "e_form_raw_ev_per_atom": -0.51
}

(14)
{
  "formula": "Li2SiCl6",
  "functional": "PBE-GGA",
  "state": "optimized geometry",
  "lattice": [[6.129, 0.000, 0.000], [0.000, 6.738, 0.000], [-5.500, 0.000, 10.031]],
  "species": ["Li", "Li", "Li", "Li", "Si", "Si", "Cl", "Cl", "Cl", "Cl", "Cl", "Cl", "Cl", "Cl", "Cl", "Cl", "Cl", "Cl"],
  "frac_coords": [[0.137, 0.130, 0.154], [0.137, 0.370, 0.654], [0.863, 0.630, 0.346], [0.863, 0.870, 0.846], [0.500, 0.000, 0.000], [0.500, 0.500, 0.500], [0.164, 0.058, 0.796], [0.164, 0.442, 0.296], [0.257, 0.675, 0.559], [0.257, 0.825, 0.059], [0.417, 0.228, 0.578], [0.417, 0.272, 0.078], [0.583, 0.728, 0.922], [0.583, 0.772, 0.422], [0.743, 0.175, 0.941], [0.743, 0.325, 0.441], [0.836, 0.558, 0.704], [0.836, 0.942, 0.204]],
  "total_energy_ev_per_fu": -32.4,
  "dos_at_fermi_per_ev_cell": 0.0,
  "e_form_raw_ev_per_atom": -1.34
}

(15)
{
  "formula": "LiSiCl2",
  "functional": "PBE-GGA",
  "state": "optimized geometry",
  "lattice": [[3.656, 0.000, 0.000], [0.000, 3.679, 0.000], [0.000, 0.000, 7.939]],
  "species": ["Li", "Si", "Cl", "Cl"],
  "frac_coords": [[0.000, 0.000, 0.000], [0.500, 0.000, 0.500], [0.000, 0.500, 0.500], [0.500, 0.500, 0.000]],
  "total_energy_ev_per_fu": -13.1,
  "dos_at_fermi_per_ev_cell": 0.5,
  "e_form_raw_ev_per_atom": -0.51
}

(16)
{
  "formula": "LiSiCl2",
  "functional": "PBE-GGA",
  "state": "optimized geometry",
  "lattice": [[3.303, 0.000, 0.000], [0.000, 3.376, 0.000], [-1.495, 0.000, 7.342]],
  "species": ["Li", "Si", "Cl", "Cl"],
  "frac_coords": [[0.000, 0.000, 0.000], [0.500, 0.000, 0.500], [0.389, 0.500, 0.210], [0.611, 0.500, 0.790]],
  "total_energy_ev_per_fu": -13.6,
  "dos_at_fermi_per_ev_cell": 1.1,
  "e_form_raw_ev_per_atom": -0.63
}

(17)
{
  "formula": "LiSiCl3",
  "functional": "PBE-GGA",
  "state": "optimized geometry",
  "lattice": [[5.193, 0.000, 0.000], [0.543, 5.169, 0.000], [0.547, 0.490, 5.158]],
  "species": ["Li", "Si", "Cl", "Cl", "Cl"],
  "frac_coords": [[0.000, 0.000, 0.000], [0.680, 0.678, 0.673], [0.497, 0.962, 0.957], [0.964, 0.495, 0.958], [0.965, 0.962, 0.491]],
  "total_energy_ev_per_fu": -18.4,
  "dos_at_fermi_per_ev_cell": 0.0,
  "e_form_raw_ev_per_atom": -1.11
}

(18)
{
  "formula": "LiSiCl2",
  "functional": "PBE-GGA",
  "state": "optimized geometry",
  "lattice": [[-1.765, 1.789, 8.660], [1.765, -1.789, 8.660], [1.765, 1.789, -8.660]],
  "species": ["Li", "Si", "Cl", "Cl"],
  "frac_coords": [[0.000, 0.000, 0.000], [0.221, 0.721, 0.500], [0.499, 0.499, 0.000], [0.764, 0.264, 0.500]],
  "total_energy_ev_per_fu": -13.2,
  "dos_at_fermi_per_ev_cell": 0.1,
  "e_form_raw_ev_per_atom": -0.54
}

(19)
{
  "formula": "LiSiCl6",
  "functional": "PBE-GGA",
  "state": "optimized geometry",
  "lattice": [[6.236, 0.000, 0.000], [-3.116, 5.406, 0.000], [-0.003, -3.600, 5.533]],
  "species": ["Li", "Si", "Cl", "Cl", "Cl", "Cl", "Cl", "Cl"],
  "frac_coords": [[0.000, 0.000, 0.000], [0.500, 0.000, 0.500], [0.131, 0.843, 0.269], [0.287, 0.861, 0.730], [0.427, 0.558, 0.270], [0.573, 0.442, 0.730], [0.713, 0.139, 0.270], [0.869, 0.157, 0.731]],
  "total_energy_ev_per_fu": -25.8,
  "dos_at_fermi_per_ev_cell": 10.0,
  "e_form_raw_ev_per_atom": -0.92
}

(20)
{
  "formula": "LiSiCl2",
  "functional": "PBE-GGA",
  "state": "optimized geometry",
  "lattice": [[3.425, 0.000, 0.000], [0.000, 5.276, 0.000], [-1.702, 0.000, 5.204]],
  "species": ["Li", "Si", "Cl", "Cl"],
  "frac_coords": [[0.000, 0.000, 0.000], [0.675, 0.500, 0.358], [0.651, 0.000, 0.305], [0.891, 0.500, 0.792]],
  "total_energy_ev_per_fu": -13.8,
  "dos_at_fermi_per_ev_cell": 0.8,
  "e_form_raw_ev_per_atom": -0.69
}